1.
The following is a GGA-PBEsol calculation of a relaxed structure of TlIn2Rh, from Alexandria.

The space group is P4/mmm (No. 123) and the conventional cell measures 3.1287, 3.1287 and 8.7352 Å, with angles of 90.00, 90.00 and 90.00 degrees. The asymmetric unit holds Tl at (0.0000, 0.0000, 0.0000), In at (0.5000, 0.5000, 0.3074) and Rh at (0.0000, 0.0000, 0.5000).

As for the crystal system: tetragonal. The calculation puts the density at 10.43 g/cm3. The calculation puts the total energy at -4.3244 eV per atom. For the polymorph energy (0 for the lowest one), the calculation gives 0.0 meV/atom. Its formation energy from the elements is -0.14 eV per atom.

***

2.
The following is a GGA-PBEsol calculation of a relaxed structure of MgCrBr, from Alexandria.

The space group is Fmm2 (No. 42) and the conventional cell measures 3.8373, 5.4174 and 12.2177 Å, with angles of 90.00, 90.00 and 90.00 degrees. The asymmetric unit holds Mg at (0.0000, 0.0000, 0.0000), Cr at (0.0000, 0.0000, 0.6652) and Br at (0.0000, 0.0000, 0.3255).

As for the crystal system: orthorhombic. The calculation puts the density at 4.09 g/cm3. The calculation puts the total energy at -4.3957 eV per atom. Its uncorrected formation energy is 0.2140 eV/atom.

***

3.
The following is a GGA-PBEsol calculation of a relaxed structure of ScAgAs3, from Alexandria.

The space group is Pm-3m (No. 221) and the conventional cell measures 4.9910, 4.9910 and 4.9910 Å, with angles of 90.00, 90.00 and 90.00 degrees. The asymmetric unit holds Sc at (0.0000, 0.0000, 0.0000), Ag at (0.5000, 0.5000, 0.5000) and As at (0.0000, 0.0000, 0.5000).

As for the crystal system: cubic. The calculation puts the density at 5.04 g/cm3. The calculation puts the total energy at -4.6347 eV per atom. Its formation energy from the elements is 0.41 eV per atom.

***

4.
The following is a GGA-PBEsol calculation of a relaxed structure of Si2SbI, from Alexandria.

The space group is Fm-3m (No. 225) and the conventional cell measures 7.0863, 7.0863 and 7.0863 Å, with angles of 90.00, 90.00 and 90.00 degrees. The asymmetric unit holds Si at (0.2500, 0.2500, 0.2500), Sb at (0.0000, 0.0000, 0.0000) and I at (0.0000, 0.0000, 0.5000).

As for the crystal system: cubic. The calculation puts the density at 5.69 g/cm3. The calculation puts the total energy at -3.8515 eV per atom. Its uncorrected formation energy is 0.6029 eV/atom.

***

5.
The following is a GGA-PBEsol calculation of a relaxed structure of K2ClF, from Alexandria.

The space group is I-42d (No. 122) and the conventional cell measures 7.2281, 7.2281 and 8.3752 Å, with angles of 90.00, 90.00 and 90.00 degrees. The asymmetric unit holds K at (0.1931, 0.7500, 0.1250), Cl at (0.0000, 0.0000, 0.5000) and F at (0.0000, 0.0000, 0.0000).

As for the crystal system: tetragonal. The calculation puts the density at 2.01 g/cm3. The calculation puts the total energy at -3.8000 eV per atom. Its uncorrected formation energy is -2.2495 eV/atom.

***

6.
The following is a GGA-PBEsol calculation of a relaxed structure of Sn2PtI, from Alexandria.

The space group is Fm-3m (No. 225) and the conventional cell measures 7.2469, 7.2469 and 7.2469 Å, with angles of 90.00, 90.00 and 90.00 degrees. The asymmetric unit holds Sn at (0.2500, 0.2500, 0.2500), Pt at (0.0000, 0.0000, 0.0000) and I at (0.0000, 0.0000, 0.5000).

As for the crystal system: cubic. The calculation puts the density at 9.76 g/cm3. The calculation puts the total energy at -4.0843 eV per atom. Its uncorrected formation energy is 0.2279 eV/atom.

***

7.
The following is a GGA-PBEsol calculation of a relaxed structure of Nd4Rh, from Alexandria.

The space group is Pm (No. 6) and the conventional cell measures 6.3457, 9.8399 and 7.0994 Å, with angles of 90.00, 90.28 and 90.00 degrees. The asymmetric unit holds Nd at (0.0000, 0.0000, 0.0000), Nd at (0.0066, 0.3127, 0.7110), Nd at (0.1716, 0.3188, 0.2121), Nd at (0.1915, 0.0000, 0.5099), Nd at (0.4865, 0.5000, 0.5666), Nd at (0.5065, 0.1833, 0.8553), Nd at (0.6774, 0.1841, 0.3528), Nd at (0.6925, 0.5000, 0.0638), Rh at (0.2656, 0.5000, 0.9125), Rh at (0.7643, 0.0000, 0.6530) and Rh at (0.9096, 0.5000, 0.4128).

As for the crystal system: monoclinic. The calculation puts the density at 7.64 g/cm3. The calculation puts the total energy at -6.0440 eV per atom. Its formation energy from the elements is -0.28 eV per atom.

***

8.
The following is a GGA-PBEsol calculation of a relaxed structure of CaAlGa, from Alexandria.

The space group is C2/m (No. 12) and the conventional cell measures 10.4881, 4.4744 and 7.2954 Å, with angles of 90.00, 132.19 and 90.00 degrees. The asymmetric unit holds Ca at (0.0493, 0.0000, 0.3029), Al at (0.1638, 0.5000, 0.0962) and Ga at (0.1602, 0.5000, 0.7140).

As for the crystal system: monoclinic. The calculation puts the density at 3.58 g/cm3. The calculation puts the total energy at -3.6255 eV per atom. Its formation energy from the elements is -0.44 eV per atom.

***

9.
The following is a GGA-PBEsol calculation of a relaxed structure of TiHgN2, from Alexandria.

The space group is R-3m (No. 166, hexagonal axes) and the conventional cell measures 3.3700, 3.3700 and 18.4005 Å, with angles of 90.00, 90.00 and 120.00 degrees. The asymmetric unit holds Ti at (0.0000, 0.0000, 0.0000), Hg at (0.0000, 0.0000, 0.5000) and N at (0.0000, 0.0000, 0.1016).

As for the crystal system: trigonal. The calculation puts the density at 7.61 g/cm3. The calculation puts the total energy at -5.5561 eV per atom. Its uncorrected formation energy is 0.9295 eV/atom.

***

10.
The following is a GGA-PBEsol calculation of a relaxed structure of RbCaBi2I, from Alexandria.

The space group is P4/mmm (No. 123) and the conventional cell measures 5.9595, 5.9595 and 6.4849 Å, with angles of 90.00, 90.00 and 90.00 degrees. The asymmetric unit holds Rb at (0.0000, 0.0000, 0.0000), Ca at (0.0000, 0.0000, 0.5000), Bi at (0.0000, 0.5000, 0.0000) and I at (0.5000, 0.5000, 0.5000).

As for the crystal system: tetragonal. The calculation puts the density at 4.83 g/cm3. The calculation puts the total energy at -1.9018 eV per atom. Its uncorrected formation energy is 0.7974 eV/atom.